This record from Alexandria describes Nb3InTe after structural relaxation. The functional is PBE-GGA.

Cell: 5.0352 5.0352 5.0352 Å, 90.00 90.00 90.00°
Sites, in units of the cell vectors:
Nb  0.0000  0.0000  0.5000
Nb  0.5000  0.0000  0.0000
Nb  0.0000  0.5000  0.0000
In  0.5000  0.5000  0.5000
Te  0.0000  0.0000  0.0000

Output
As for the energy above the most stable polymorph in this dataset: 0.0 meV per atom. As for the formation energy (no corrections): 1.196 eV/atom. The crystal system is cubic. Its symmetry is Pm-3m.

This record from Alexandria describes In2AsPt after structural relaxation. The functional is PBE-GGA.

Cell: 3.2498 3.2498 8.2550 Å, 90.00 90.00 90.00°
Sites, in units of the cell vectors:
In  0.5000  0.5000  0.2921
In  0.0000  0.0000  0.9911
Pt  0.0000  0.0000  0.5309
As  0.5000  0.5000  0.6859

Output
The formation enthalpy at 0 K is -0.10 eV/atom. The crystal system is tetragonal. Its symmetry is P4mm.

This record from Alexandria describes ZrTl3Ir after structural relaxation. The functional is PBE-GGA.

Cell: 5.5535 5.5535 5.5535 Å, 90.00 90.00 90.00°
Sites, in units of the cell vectors:
Ir  0.5000  0.5000  0.5000
Zr  0.0000  0.0000  0.0000
Tl  0.0000  0.5000  0.0000
Tl  0.0000  0.0000  0.5000
Tl  0.5000  0.0000  0.0000

Output
The formation enthalpy at 0 K is 1.51 eV/atom. As for the energy above the most stable polymorph in this dataset: 777.9 meV per atom. The crystal system is cubic. Its symmetry is Pm-3m.

This record from Alexandria describes Hg2RhBrN after structural relaxation. The functional is PBE-GGA.

Cell: 5.8648 3.6130 5.8648 Å, 90.00 90.00 90.00°
Sites, in units of the cell vectors:
Hg  0.5000  0.0000  0.0000
Hg  0.0000  0.0000  0.5000
Br  0.0000  0.0000  0.0000
Rh  0.5000  0.5000  0.5000
N  0.0000  0.5000  0.0000

Output
As for the formation energy (no corrections): 1.629 eV/atom. The crystal system is tetragonal. Its symmetry is P4/mmm.

Values for N(E_F), states/eV/atom, ordered as above
1.31 0.38 1.24 1.05